No. 1
ReI2BrN: relaxed, GGA-PBE.

Summary:
* total magnetic moment: 4.3 μB/f.u.
* space-group type: No. 123
* offset from the most stable computed form: 1728 meV/atom
* raw formation energy: 2.185 eV per atom

Cell lengths 6.3821, 6.3821, 3.6593 Å; angles 90.00, 90.00, 90.00 degrees
Closest atoms and distances in Å follow each position.
Fractional positions:
Re: 0.0000 0.0000 0.0000  2 Re 3.66, 8 I 3.68
I: 0.0000 0.5000 0.5000  2 Br 3.19
I: 0.5000 0.0000 0.5000  2 Br 3.19
Br: 0.5000 0.5000 0.5000  2 N 1.83
N: 0.5000 0.5000 0.0000  2 Br 1.83

=====

No. 2
MgReAs2Se: relaxed, GGA-PBE.

Summary:
* total magnetic moment: 0.0 μB/f.u.
* space-group type: No. 123
* offset from the most stable computed form: 0 meV/atom
* raw formation energy: 0.380 eV per atom

Cell lengths 4.6712, 4.6712, 5.7319 Å; angles 90.00, 90.00, 90.00 degrees
Closest atoms and distances in Å follow each position.
Fractional positions:
Mg: 0.0000 0.0000 0.0000  4 Se 3.30, 8 As 3.70
Re: 0.5000 0.5000 0.5000  4 As 2.34
As: 0.0000 0.5000 0.5000  2 Re 2.34
As: 0.5000 0.0000 0.5000  2 Re 2.34
Se: 0.5000 0.5000 0.0000  2 Re 2.87

=====

No. 3
SmCd3Hg2: relaxed, GGA-PBE.

Summary:
* energy of formation from the pure elements: -0.22 eV/atom
* total magnetic moment: 0.0 μB/f.u.
* space-group type: No. 12
* offset from the most stable computed form: 0 meV/atom

Cell lengths 6.9456, 6.9456, 10.3480 Å; angles 109.38, 109.38, 38.27 degrees
Closest atoms and distances in Å follow each position.
Fractional positions:
Sm: 0.1505 0.1505 0.1190  5 Hg 3.11-3.28, 4 Cd 3.36-3.42
Sm: 0.8495 0.8495 0.8810  5 Hg 3.11-3.28, 4 Cd 3.36-3.42
Cd: 0.0571 0.0571 0.3891  8 Cd 3.07-3.20, 3 Hg 3.09-3.30, 1 Sm 3.42
Cd: 0.2883 0.2883 0.6198  2 Hg 3.05-3.19, 8 Cd 3.07-3.25, 2 Sm 3.41
Cd: 0.3862 0.3862 0.3890  8 Cd 3.06-3.21, 3 Hg 3.12-3.17, 1 Sm 3.36
Cd: 0.6138 0.6138 0.6110  8 Cd 3.06-3.21, 3 Hg 3.12-3.17, 1 Sm 3.36
Cd: 0.7117 0.7117 0.3802  2 Hg 3.05-3.19, 8 Cd 3.07-3.25, 2 Sm 3.41
Cd: 0.9429 0.9429 0.6109  8 Cd 3.07-3.20, 3 Hg 3.09-3.30, 1 Sm 3.42
Hg: 0.1747 0.1747 0.8310  4 Cd 3.05-3.12, 2 Hg 3.10, 3 Sm 3.11-3.14
Hg: 0.4777 0.4777 0.1430  3 Hg 3.10-3.21, 4 Cd 3.17-3.30, 2 Sm 3.28
Hg: 0.5223 0.5223 0.8570  3 Hg 3.10-3.21, 4 Cd 3.17-3.30, 2 Sm 3.28
Hg: 0.8253 0.8253 0.1690  4 Cd 3.05-3.12, 2 Hg 3.10, 3 Sm 3.11-3.14

=====

No. 4
NbSiAsBr2: relaxed, GGA-PBE.

Summary:
* total magnetic moment: 1.2 μB/f.u.
* space-group type: No. 123
* offset from the most stable computed form: 0 meV/atom
* raw formation energy: 0.486 eV per atom

Cell lengths 5.1053, 5.1053, 5.1834 Å; angles 90.00, 90.00, 90.00 degrees
Closest atoms and distances in Å follow each position.
Fractional positions:
Nb: 0.0000 0.0000 0.0000  4 Br 2.55, 2 As 2.59
Si: 0.5000 0.5000 0.5000  4 As 3.61, 8 Br 3.64
As: 0.0000 0.0000 0.5000  2 Nb 2.59
Br: 0.0000 0.5000 0.0000  2 Nb 2.55
Br: 0.5000 0.0000 0.0000  2 Nb 2.55

=====

No. 5
SiRu2: relaxed, GGA-PBE.

Summary:
* total magnetic moment: 0.0 μB/f.u.
* space-group type: No. 194
* raw formation energy: 0.205 eV per atom

Cell lengths 4.0026, 4.0026, 6.6044 Å; angles 90.00, 90.00, 120.00 degrees
Closest atoms and distances in Å follow each position.
Fractional positions:
Si: 0.0000 0.0000 0.2500  6 Ru 2.63
Si: 0.0000 0.0000 0.7500  6 Ru 2.63
Ru: 0.3333 0.6667 0.0613  4 Ru 2.45-2.49, 3 Si 2.63
Ru: 0.3333 0.6667 0.4387  4 Ru 2.45-2.49, 3 Si 2.63
Ru: 0.6667 0.3333 0.5613  4 Ru 2.45-2.49, 3 Si 2.63
Ru: 0.6667 0.3333 0.9387  4 Ru 2.45-2.49, 3 Si 2.63

=====

No. 6
Mg2TlIn6: relaxed, GGA-PBE.

Summary:
* energy of formation from the pure elements: 0.06 eV/atom
* total magnetic moment: 0.0 μB/f.u.
* space-group type: No. 71

Cell lengths 8.5578, 8.5578, 8.5578 Å; angles 144.52, 136.18, 57.60 degrees
Closest atoms and distances in Å follow each position.
Fractional positions:
Mg: 0.1107 0.1107 0.0000  10 In 3.24-3.44, 1 Mg 3.32, 2 Tl 3.60
Mg: 0.8893 0.8893 0.0000  10 In 3.24-3.44, 1 Mg 3.32, 2 Tl 3.60
Tl: 0.5000 0.0000 0.5000  4 In 3.11
In: 0.0510 0.2994 0.7516  5 In 3.00-3.21, 3 Mg 3.24-3.35
In: 0.2357 0.5000 0.7357  3 In 3.01, 2 Tl 3.11
In: 0.4523 0.7006 0.7516  5 In 3.00-3.21, 3 Mg 3.24-3.35
In: 0.5477 0.2994 0.2484  5 In 3.00-3.21, 3 Mg 3.24-3.35
In: 0.7643 0.5000 0.2643  3 In 3.01, 2 Tl 3.11
In: 0.9490 0.7006 0.2484  5 In 3.00-3.21, 3 Mg 3.24-3.35

=====

No. 7
CrWS2: relaxed, GGA-PBE.

Summary:
* total magnetic moment: 2.3 μB/f.u.
* space-group type: No. 122
* offset from the most stable computed form: 118 meV/atom
* raw formation energy: 0.044 eV per atom

Cell lengths 6.4645, 6.4645, 6.4645 Å; angles 130.80, 130.80, 72.13 degrees
Closest atoms and distances in Å follow each position.
Fractional positions:
Cr: 0.0000 0.0000 0.0000  4 S 2.30
Cr: 0.7500 0.2500 0.5000  4 S 2.30
W: 0.2500 0.7500 0.5000  4 S 2.32
W: 0.5000 0.5000 0.0000  4 S 2.32
S: 0.1213 0.6250 0.9963  2 Cr 2.30, 2 W 2.32
S: 0.3750 0.3713 0.4963  2 Cr 2.30, 2 W 2.32
S: 0.6287 0.1250 0.0037  2 Cr 2.30, 2 W 2.32
S: 0.8750 0.8787 0.5037  2 Cr 2.30, 2 W 2.32

=====

No. 8
Rb3Li: relaxed, GGA-PBE.

Summary:
* energy of formation from the pure elements: 0.13 eV/atom
* total magnetic moment: 0.0 μB/f.u.
* space-group type: No. 139
* offset from the most stable computed form: 11 meV/atom

Cell lengths 7.7526, 7.7526, 7.7526 Å; angles 128.55, 128.55, 75.74 degrees
Closest atoms and distances in Å follow each position.
Fractional positions:
Rb: 0.0000 0.0000 0.0000  8 Rb 4.55, 4 Li 4.76
Rb: 0.2500 0.7500 0.5000  4 Li 4.55, 8 Rb 4.55-4.76
Rb: 0.7500 0.2500 0.5000  4 Li 4.55, 8 Rb 4.55-4.76
Li: 0.5000 0.5000 0.0000  12 Rb 4.55-4.76

=====

No. 9
Pr6Ho2In: relaxed, GGA-PBE.

Summary:
* energy of formation from the pure elements: -0.05 eV/atom
* total magnetic moment: 0.0 μB/f.u.
* space-group type: No. 15
* offset from the most stable computed form: 16 meV/atom

Cell lengths 11.5252, 11.5252, 6.4190 Å; angles 106.12, 106.12, 47.72 degrees
Closest atoms and distances in Å follow each position.
Fractional positions:
Pr: 0.0077 0.1506 0.4408  2 In 3.40-3.47, 6 Pr 3.48-3.61, 1 Ho 3.64
Pr: 0.0814 0.5809 0.0809  5 Pr 3.26-3.57, 1 In 3.39, 4 Ho 3.49-3.54
Pr: 0.1506 0.0077 0.9408  2 In 3.40-3.47, 6 Pr 3.48-3.61, 1 Ho 3.64
Pr: 0.3485 0.4931 0.7807  2 In 3.40-3.47, 6 Pr 3.48-3.61, 1 Ho 3.64
Pr: 0.4191 0.9186 0.4191  5 Pr 3.26-3.57, 1 In 3.39, 4 Ho 3.49-3.54
Pr: 0.4931 0.3485 0.2807  2 In 3.40-3.47, 6 Pr 3.48-3.61, 1 Ho 3.64
Pr: 0.5069 0.6515 0.7193  2 In 3.40-3.47, 6 Pr 3.48-3.61, 1 Ho 3.64
Pr: 0.5809 0.0814 0.5809  5 Pr 3.26-3.57, 1 In 3.39, 4 Ho 3.49-3.54
Pr: 0.6515 0.5069 0.2193  2 In 3.40-3.47, 6 Pr 3.48-3.61, 1 Ho 3.64
Pr: 0.8494 0.9923 0.0592  2 In 3.40-3.47, 6 Pr 3.48-3.61, 1 Ho 3.64
Pr: 0.9186 0.4191 0.9191  5 Pr 3.26-3.57, 1 In 3.39, 4 Ho 3.49-3.54
Pr: 0.9923 0.8494 0.5592  2 In 3.40-3.47, 6 Pr 3.48-3.61, 1 Ho 3.64
Ho: 0.1728 0.3270 0.4203  3 Ho 3.38-3.52, 6 Pr 3.49-3.64
Ho: 0.3270 0.1728 0.9203  3 Ho 3.38-3.52, 6 Pr 3.49-3.64
Ho: 0.6730 0.8272 0.0797  3 Ho 3.38-3.52, 6 Pr 3.49-3.64
Ho: 0.8272 0.6730 0.5797  3 Ho 3.38-3.52, 6 Pr 3.49-3.64
In: 0.2509 0.7491 0.2500  10 Pr 3.39-3.47
In: 0.7491 0.2509 0.7500  10 Pr 3.39-3.47

=====

No. 10
PmHoP2: relaxed, GGA-PBE.

Summary:
* energy of formation from the pure elements: -1.58 eV/atom
* total magnetic moment: 0.0 μB/f.u.
* space-group type: No. 166
* offset from the most stable computed form: 0 meV/atom

Cell lengths 7.0256, 7.0256, 7.0256 Å; angles 33.61, 33.61, 33.61 degrees
Closest atoms and distances in Å follow each position.
Fractional positions:
Pm: 0.0000 0.0000 0.0000  6 P 2.91
Ho: 0.5000 0.5000 0.5000  6 P 2.84
P: 0.2471 0.2471 0.2471  3 Ho 2.84, 3 Pm 2.91
P: 0.7529 0.7529 0.7529  3 Ho 2.84, 3 Pm 2.91

=====

No. 11
KSb2Rh: relaxed, GGA-PBE.

Summary:
* total magnetic moment: 0.0 μB/f.u.
* space-group type: No. 12
* offset from the most stable computed form: 648 meV/atom
* raw formation energy: 0.246 eV per atom

Cell lengths 5.5441, 5.5441, 3.2875 Å; angles 90.29, 90.29, 111.01 degrees
Closest atoms and distances in Å follow each position.
Fractional positions:
K: 0.0000 0.0000 0.0000  2 Rh 3.14, 8 Sb 3.22-3.23, 2 K 3.29
Sb: 0.0000 0.5000 0.5000  4 Sb 3.14-3.29, 4 K 3.22-3.23, 4 Rh 3.22-3.23
Sb: 0.5000 0.0000 0.5000  4 Sb 3.14-3.29, 4 K 3.22-3.23, 4 Rh 3.22-3.23
Rh: 0.5000 0.5000 0.0000  2 K 3.14, 8 Sb 3.22-3.23, 2 Rh 3.29

=====

No. 12
BiSb3N: relaxed, GGA-PBE.

Summary:
* total magnetic moment: 0.0 μB/f.u.
* space-group type: No. 221
* offset from the most stable computed form: 1859 meV/atom
* raw formation energy: 2.233 eV per atom

Cell lengths 5.8164, 5.8164, 5.8164 Å; angles 90.00, 90.00, 90.00 degrees
Closest atoms and distances in Å follow each position.
Fractional positions:
Bi: 0.0000 0.0000 0.0000  6 Sb 2.91
Sb: 0.0000 0.0000 0.5000  2 Bi 2.91
Sb: 0.0000 0.5000 0.0000  2 Bi 2.91
Sb: 0.5000 0.0000 0.0000  2 Bi 2.91
N: 0.5000 0.5000 0.5000  12 Sb 4.11

=====

No. 13
MgGeAu2C: relaxed, GGA-PBE.

Summary:
* energy of formation from the pure elements: 1.26 eV/atom
* total magnetic moment: 0.0 μB/f.u.
* space-group type: No. 123

Cell lengths 4.9944, 4.9944, 4.0507 Å; angles 90.00, 90.00, 90.00 degrees
Closest atoms and distances in Å follow each position.
Fractional positions:
Mg: 0.0000 0.0000 0.0000  2 C 2.03
Ge: 0.5000 0.5000 0.5000  8 Au 3.22, 4 C 3.53
Au: 0.0000 0.5000 0.0000  2 Mg 2.50
Au: 0.5000 0.0000 0.0000  2 Mg 2.50
C: 0.0000 0.0000 0.5000  2 Mg 2.03

=====

no.,total energy (eV per atom)
1,-2.925
2,-4.985
3,-1.569
4,-4.212
5,-7.786
6,-2.379
7,-7.664
8,-1.071
9,-4.555
10,-6.620
11,-3.928
12,-2.682
13,-3.136